Crystalline PrYSe at its relaxed geometry, computed with PBE.

Calculated values
Magnetization   0.0 μB/f.u.
Volume   30.3 A^3/atom
Relative energy among the computed polymorphs   0 meV per atom
Space-group type   P3m1, No. 156
Formation energy (no corrections)   -1.1181 eV/atom
Uncorrected energy   -6.03 eV/atom

Cell: 3.9538 3.9538 6.7200 Å, 90.00 90.00 120.00°
Positions (direct):
Pr1 0.0000 0.0000 0.0000
Y1 0.3333 0.6667 0.5504
Se1 0.6667 0.3333 0.2899